A plane-wave DFT calculation with PBE-GGA was carried out for crystalline La3CeSe4 at its relaxed geometry.

**E_form (uncorrected)**: -1.95 eV per atom
**Mass density**: 6.49 g/cm3

Cell lengths 8.604, 12.139, 4.277 Å; angles 90.00, 90.00, 90.00 degrees
Space group Cmmm (No. 65)
One atom of each set of equivalent atoms:
La 0.000 0.000 0.000
La 0.250 0.250 0.500
Ce 0.000 0.500 0.000
Se 0.000 0.252 0.000
Se 0.245 0.500 0.500

=====

A plane-wave DFT calculation with PBE-GGA was carried out for crystalline Na4Tl2In3 at its relaxed geometry.

**Mass density**: 5.78 g/cm3
**Energy of formation from the pure elements**: -110 meV/atom

Cell lengths 5.288, 5.299, 9.988 Å; angles 90.01, 90.07, 119.87 degrees
Space group P-1 (No. 2)
One atom of each set of equivalent atoms:
Na 0.000 0.000 0.166
Na 0.334 0.667 0.703
Tl 0.334 0.667 0.370
In 0.000 0.000 0.500
In 0.333 0.667 0.040

=====

A plane-wave DFT calculation with PBE-GGA was carried out for crystalline Na2Y2In at its relaxed geometry.

**Mass density**: 3.08 g/cm3
**Polymorph energy (0 for the lowest one)**: 16.1 kJ/mol of atoms
**Energy of formation from the pure elements**: 300 meV/atom

Cell lengths 7.945, 7.945, 5.790 Å; angles 90.00, 90.00, 90.00 degrees
Space group P4/mbm (No. 127)
One atom of each set of equivalent atoms:
Na 0.160 0.340 0.000
Y 0.153 0.653 0.500
In 0.000 0.000 0.500

=====

A plane-wave DFT calculation with PBE-GGA was carried out for crystalline Rb4U3AlN8 at its relaxed geometry.

**E_form (uncorrected)**: -0.76 eV per atom
**Mass density**: 7.17 g/cm3

Cell lengths 12.190, 6.790, 7.757 Å; angles 90.00, 120.44, 90.00 degrees
Space group C2/m (No. 12)
One atom of each set of equivalent atoms:
Rb 0.000 0.000 0.000
Rb 0.000 0.500 0.000
Rb 0.250 0.250 0.000
U 0.000 0.000 0.500
U 0.250 0.250 0.500
Al 0.000 0.500 0.500
N 0.034 0.256 0.354
N 0.217 0.000 0.654
N 0.238 0.500 0.664

=====

Values for D(E_F), states/eV per atom, ordered as above
1.193; 0.559; 1.058; 0.261